First-principles (PBE+U) data for an optimized crystal structure of NaCdMoO4, as listed in the Alexandria database.

Results
VASP energy = -78.64 eV per cell
Size of the total moment = 0.00 μB/cell
Space group = Imma, No. 74

Lattice parameters (Å, degrees): 6.736 6.736 6.736 124.01 115.10 90.95
Fractional coordinates of all 14 atoms:
Na 0.000 0.000 0.000
Na 0.500 0.000 0.500
Cd 0.500 0.000 0.000
Cd 0.500 0.500 0.500
Mo 0.128 0.378 0.750
Mo 0.872 0.622 0.250
O 0.186 0.732 0.454
O 0.222 0.268 0.954
O 0.242 0.259 0.517
O 0.242 0.725 0.983
O 0.758 0.275 0.017
O 0.758 0.741 0.483
O 0.778 0.732 0.046
O 0.814 0.268 0.546